Compound: CeHo5Tl6
Source: Alexandria
Functional: PBE-GGA
Structure: optimized geometry

a b c (Å): 5.4006 16.2397 7.5307
angles (deg): 90.00 90.00 90.00
Last column: nearest neighbours and their distance in Å.
Space group Cmmm (No. 65)
Unique sites:
Ce1 0.0000 0.0000 0.0000  8 Tl 3.31-3.36
Ho1 0.0000 0.0000 0.5000  8 Tl 3.27-3.32
Ho2 0.0000 0.3325 0.0000  8 Tl 3.27-3.33
Ho3 0.0000 0.3369 0.5000  8 Tl 3.23-3.28
Tl1 0.0000 0.1698 0.2554  7 Ho 3.27-3.32, 1 Ce 3.36
Tl2 0.0000 0.5000 0.2540  6 Ho 3.23-3.33, 2 Ce 3.31

Computed properties:
energy relative to the elements: -306 meV per atom
calculated volume: 660 Å³ per cell
N(E_F): 30.82 states/eV/cell
distance to the lowest polymorph of the same formula: 0 meV/atom
VASP energy: -93.4 eV for the cell shown
magnetic moment: 0.103 μB/atom
mass density: 11.02 g/cm³